[1]
First-principles (PBE) data for TaAgIrSe after structural relaxation, as listed in Alexandria via LeMat-Bulk.

Properties
ΔE to the lowest computed polymorph, meV/atom: 54
E_form (uncorrected), eV per formula unit: -0.6
M_tot, μB per atom: 0.00
Space group: P1 (1)

Lattice parameters (Å, degrees): 3.2999 3.5391 8.2318 78.96 78.58 62.83
Positions (direct):
Ta 0.0000 0.0000 0.0000
Ag 0.8394 0.8833 0.4468
Ir 0.2491 0.3211 0.1921
Se 0.7446 0.7233 0.7783

[2]
First-principles (PBE) data for Sm4Hg3 after structural relaxation, as listed in Alexandria via LeMat-Bulk.

Properties
ΔE to the lowest computed polymorph, meV/atom: 0
M_tot, μB per atom: 0.15
DFT formation energy, eV/f.u.: -2.21
Space group: R-3m (166)

Lattice parameters (Å, degrees): 9.0664 9.0664 9.0664 34.04 34.04 34.04
Positions (direct):
Sm 0.1205 0.1205 0.1205
Sm 0.3724 0.3724 0.3724
Sm 0.6276 0.6276 0.6276
Sm 0.8795 0.8795 0.8795
Hg 0.2498 0.2498 0.2498
Hg 0.5000 0.5000 0.5000
Hg 0.7502 0.7502 0.7502

[3]
First-principles (PBE) data for Ba2MgBiSb after structural relaxation, as listed in Alexandria via LeMat-Bulk.

Properties
E_form (uncorrected), eV per formula unit: -2.4
M_tot, μB per atom: 0.00
Space group: P4/mmm (123)

Lattice parameters (Å, degrees): 6.6090 6.6090 5.2649 90.00 90.00 90.00
Positions (direct):
Ba 0.0000 0.5000 0.0000
Ba 0.5000 0.0000 0.0000
Mg 0.0000 0.0000 0.5000
Bi 0.5000 0.5000 0.5000
Sb 0.0000 0.0000 0.0000

[4]
First-principles (PBE) data for Ca2NpMoN5 after structural relaxation, as listed in Alexandria via LeMat-Bulk.

Properties
E_form (uncorrected), eV per formula unit: -8.3
M_tot, μB per atom: 0.23
Space group: Cmc2_1 (36)

Lattice parameters (Å, degrees): 6.9245 6.9245 11.1413 90.00 90.00 150.95
Positions (direct):
Ca 0.0893 0.9107 0.5000
Ca 0.1517 0.8483 0.1455
Ca 0.8483 0.1517 0.6455
Ca 0.9107 0.0893 0.0000
Np 0.2160 0.7840 0.8659
Np 0.7840 0.2160 0.3659
Mo 0.4777 0.5223 0.2768
Mo 0.5223 0.4777 0.7768
N 0.0481 0.9519 0.8593
N 0.2736 0.7264 0.4891
N 0.3094 0.6906 0.2554
N 0.3780 0.6220 0.8309
N 0.4980 0.5020 0.6183
N 0.5020 0.4980 0.1183
N 0.6220 0.3780 0.3309
N 0.6906 0.3094 0.7554
N 0.7264 0.2736 0.9891
N 0.9519 0.0481 0.3593

[5]
First-principles (PBE) data for Zr2NbNi2 after structural relaxation, as listed in Alexandria via LeMat-Bulk.

Properties
ΔE to the lowest computed polymorph, meV/atom: 0
M_tot, μB per atom: 0.00
DFT formation energy, eV/f.u.: -1.10
Space group: P4/mbm (127)

Lattice parameters (Å, degrees): 7.2699 7.2699 3.2492 90.00 90.00 90.00
Positions (direct):
Zr 0.1717 0.3283 0.0000
Zr 0.3283 0.8283 0.0000
Zr 0.6717 0.1717 0.0000
Zr 0.8283 0.6717 0.0000
Nb 0.0000 0.0000 0.5000
Nb 0.5000 0.5000 0.5000
Ni 0.1238 0.6238 0.5000
Ni 0.3762 0.1238 0.5000
Ni 0.6238 0.8762 0.5000
Ni 0.8762 0.3762 0.5000

[6]
First-principles (PBE) data for MgSc6Mo after structural relaxation, as listed in Alexandria via LeMat-Bulk.

Properties
M_tot, μB per atom: 0.00
DFT formation energy, eV/f.u.: 0.83
Space group: R-3m (166)

Lattice parameters (Å, degrees): 8.7546 8.7546 8.7546 32.95 32.95 32.95
Positions (direct):
Mg 0.0000 0.0000 0.0000
Sc 0.1249 0.1249 0.1249
Sc 0.2399 0.2399 0.2399
Sc 0.3783 0.3783 0.3783
Sc 0.6217 0.6217 0.6217
Sc 0.7601 0.7601 0.7601
Sc 0.8751 0.8751 0.8751
Mo 0.5000 0.5000 0.5000

[7]
First-principles (PBE) data for TbNd5Tm3 after structural relaxation, as listed in Alexandria via LeMat-Bulk.

Properties
ΔE to the lowest computed polymorph, meV/atom: 0
M_tot, μB per atom: 0.00
DFT formation energy, eV/f.u.: 1.61
Space group: C2/c (15)

Lattice parameters (Å, degrees): 8.9248 8.9248 11.6168 109.01 109.01 44.40
Positions (direct):
Tb 0.2441 0.7559 0.7500
Tb 0.7559 0.2441 0.2500
Nd 0.0896 0.2508 0.8401
Nd 0.2508 0.0896 0.3401
Nd 0.3087 0.6913 0.2500
Nd 0.3834 0.3929 0.9467
Nd 0.3929 0.3834 0.4467
Nd 0.6071 0.6166 0.5533
Nd 0.6166 0.6071 0.0533
Nd 0.6913 0.3087 0.7500
Nd 0.7492 0.9104 0.6599
Nd 0.9104 0.7492 0.1599
Tm 0.0000 0.0000 0.0000
Tm 0.0000 0.0000 0.5000
Tm 0.1680 0.3541 0.6246
Tm 0.3541 0.1680 0.1246
Tm 0.6459 0.8320 0.8754
Tm 0.8320 0.6459 0.3754

[8]
First-principles (PBE) data for SrCa2MgHg after structural relaxation, as listed in Alexandria via LeMat-Bulk.

Properties
M_tot, μB per atom: 0.00
DFT formation energy, eV/f.u.: -0.51
Space group: P4/mmm (123)

Lattice parameters (Å, degrees): 5.9560 5.9560 5.4323 90.00 90.00 90.00
Positions (direct):
Sr 0.0000 0.0000 0.0000
Ca 0.0000 0.5000 0.5000
Ca 0.5000 0.0000 0.5000
Mg 0.5000 0.5000 0.0000
Hg 0.5000 0.5000 0.5000